(1)
VASP calculation (GGA-PBE) on crystalline YTcGe at its relaxed geometry.

The structure in POSCAR format:
```
YTcGe
1.0
0.000 3.281 3.281
3.281 0.000 3.281
3.281 3.281 0.000
Y Tc Ge
1 1 1
direct
0.000 0.000 0.000
0.750 0.750 0.750
0.250 0.250 0.250
```

Results
- Theoretical density: 6.10 g/cm³
- Space-group type: No. 216
- Energy relative to the lowest polymorph listed for this composition: 898 meV per atom
- Calculated volume: 23.54 Å³/atom
- VASP energy: -18.849 eV for the cell shown

=====

(2)
VASP calculation (GGA-PBE) on crystalline YTcGe at its relaxed geometry.

The structure in POSCAR format:
```
YTcGe
1.0
0.000 3.162 3.162
3.162 0.000 3.162
3.162 3.162 0.000
Y Tc Ge
1 1 1
direct
0.000 0.000 0.000
0.500 0.500 0.500
0.750 0.750 0.750
```

Results
- Theoretical density: 6.81 g/cm³
- Space-group type: No. 216
- Energy relative to the lowest polymorph listed for this composition: 0 meV per atom
- Calculated volume: 21.09 Å³/atom
- VASP energy: -21.543 eV for the cell shown

=====

(3)
VASP calculation (GGA-PBE) on crystalline YTc2Ge2 at its relaxed geometry.

The structure in POSCAR format:
```
YTc2Ge2
1.0
-2.071 2.071 5.341
2.071 -2.071 5.341
2.071 2.071 -5.341
Y Tc Ge
1 2 2
direct
0.000 0.000 0.000
0.250 0.750 0.500
0.750 0.250 0.500
0.381 0.381 0.000
0.619 0.619 0.000
```

Results
- Theoretical density: 7.79 g/cm³
- Space-group type: No. 139
- Calculated volume: 18.33 Å³/atom
- VASP energy: -38.459 eV for the cell shown

=====

(4)
VASP calculation (GGA-PBE) on crystalline ZnTc2Ge at its relaxed geometry.

The structure in POSCAR format:
```
ZnTc2Ge
1.0
0.000 3.077 3.077
3.077 0.000 3.077
3.077 3.077 0.000
Zn Tc Ge
1 2 1
direct
0.000 0.000 0.000
0.250 0.250 0.250
0.500 0.500 0.500
0.750 0.750 0.750
```

Results
- Theoretical density: 9.52 g/cm³
- Space-group type: No. 216
- Calculated volume: 14.57 Å³/atom
- VASP energy: -25.797 eV for the cell shown

=====

(5)
VASP calculation (GGA-PBE) on crystalline ZnTcGe2 at its relaxed geometry.

The structure in POSCAR format:
```
ZnTcGe2
1.0
0.000 3.172 3.172
3.172 0.000 3.172
3.172 3.172 0.000
Zn Tc Ge
1 1 2
direct
0.000 0.000 0.000
0.750 0.750 0.750
0.250 0.250 0.250
0.500 0.500 0.500
```

Results
- Theoretical density: 8.03 g/cm³
- Space-group type: No. 216
- Calculated volume: 15.95 Å³/atom
- VASP energy: -18.991 eV for the cell shown

=====

(6)
VASP calculation (GGA-PBE) on crystalline Zn2TcGe at its relaxed geometry.

The structure in POSCAR format:
```
Zn2TcGe
1.0
0.000 3.084 3.084
3.084 0.000 3.084
3.084 3.084 0.000
Zn Tc Ge
2 1 1
direct
0.000 0.000 0.000
0.250 0.250 0.250
0.750 0.750 0.750
0.500 0.500 0.500
```

Results
- Theoretical density: 8.54 g/cm³
- Space-group type: No. 216
- Calculated volume: 14.66 Å³/atom
- VASP energy: -16.475 eV for the cell shown